Record 1
Material: La3SnSeBr
Method: DFT, PBE
State: relaxed

Output
Formation energy without anion corrections (eV per atom): -1.3262
ρ (g cm⁻³): 6.0
Uncorrected energy (eV/atom): -5.317

Cell: 4.4920 8.3027 11.2687 Å, 113.59 90.00 90.00°
Positions (direct):
La1 0.7500 0.9383 0.1192
La2 0.2500 0.0617 0.8808
La3 0.2500 0.7022 0.5136
La4 0.7500 0.2978 0.4864
La5 0.2500 0.5212 0.8315
La6 0.7500 0.4788 0.1685
Se1 0.2500 0.6933 0.1158
Se2 0.7500 0.3067 0.8842
Br1 0.7500 0.8551 0.3880
Br2 0.2500 0.1449 0.6120
Sn1 0.7500 0.7359 0.7397
Sn2 0.2500 0.2641 0.2603

Record 2
Material: La4TcSe2Br
Method: DFT, PBE
State: relaxed

Output
Formation energy without anion corrections (eV per atom): -1.2493
ρ (g cm⁻³): 6.4
Uncorrected energy (eV/atom): -6.089

Cell: 4.0652 7.6282 7.7692 Å, 74.98 90.00 90.00°
Positions (direct):
La1 0.5000 0.2487 0.7405
La2 0.0000 0.7342 0.7092
La3 0.0000 0.2658 0.2908
La4 0.5000 0.7513 0.2595
Se1 0.0000 0.0000 0.0000
Se2 0.5000 0.0000 0.5000
Br1 0.5000 0.5000 0.0000
Tc1 0.0000 0.5000 0.5000

Record 3
Material: LaTcSeBr2
Method: DFT, PBE
State: relaxed

Output
Formation energy without anion corrections (eV per atom): 0.2269
Excess energy over the best structure of this formula in the dataset (eV per atom): 0.6706
ρ (g cm⁻³): 4.1
Uncorrected energy (eV/atom): -4.198

Cell: 5.7907 5.7907 5.7741 Å, 90.00 90.00 90.00°
Positions (direct):
Br1 0.0000 0.5000 0.0000
Br2 0.5000 0.0000 0.0000
Se1 0.0000 0.0000 0.5000
La1 0.0000 0.0000 0.0000
Tc1 0.5000 0.5000 0.5000

Record 4
Material: LaTcSeBr2
Method: DFT, PBE
State: relaxed

Output
Formation energy without anion corrections (eV per atom): -0.4437
Excess energy over the best structure of this formula in the dataset (eV per atom): 0.0000
ρ (g cm⁻³): 6.3
Uncorrected energy (eV/atom): -4.868

Cell: 5.0025 5.0025 5.0122 Å, 90.00 90.00 90.00°
Positions (direct):
Tc1 0.0000 0.0000 0.0000
Br1 0.0000 0.5000 0.0000
Br2 0.5000 0.0000 0.0000
Se1 0.0000 0.0000 0.5000
La1 0.5000 0.5000 0.5000

Record 5
Material: LaTeSe2Br
Method: DFT, PBE
State: relaxed

Output
Formation energy without anion corrections (eV per atom): -0.4278
Excess energy over the best structure of this formula in the dataset (eV per atom): 0.0000
ρ (g cm⁻³): 4.3
Uncorrected energy (eV/atom): -3.770

Cell: 5.8581 5.8581 5.7098 Å, 90.00 90.00 90.00°
Positions (direct):
Se1 0.0000 0.5000 0.0000
Se2 0.5000 0.0000 0.0000
Br1 0.0000 0.0000 0.5000
La1 0.0000 0.0000 0.0000
Te1 0.5000 0.5000 0.5000

Record 6
Material: LaTeSe2Br
Method: DFT, PBE
State: relaxed

Output
Formation energy without anion corrections (eV per atom): -0.3895
Excess energy over the best structure of this formula in the dataset (eV per atom): 0.0383
ρ (g cm⁻³): 5.1
Uncorrected energy (eV/atom): -3.732

Cell: 5.4263 5.4263 5.5537 Å, 90.00 90.00 90.00°
Positions (direct):
Te1 0.0000 0.0000 0.0000
Se1 0.5000 0.0000 0.0000
Se2 0.0000 0.5000 0.0000
Br1 0.0000 0.0000 0.5000
La1 0.5000 0.5000 0.5000

Record 7
Material: La8Te4Se3Br
Method: DFT, PBE
State: relaxed

Output
Formation energy without anion corrections (eV per atom): -1.7062
ρ (g cm⁻³): 6.5
Uncorrected energy (eV/atom): -5.713

Cell: 8.8994 8.9081 8.8991 Å, 119.98 120.00 90.00°
Positions (direct):
La1 0.7529 0.2719 0.5059
La2 0.7528 0.2717 0.0190
La3 0.2589 0.2769 0.5179
La4 0.7339 0.7283 0.9810
La5 0.2471 0.7281 0.4941
La6 0.2472 0.7283 0.9810
La7 0.2661 0.2717 0.0190
La8 0.7411 0.7231 0.4821
Se1 0.5000 0.5000 0.5000
Se2 0.5000 0.5000 0.0000
Se3 0.0000 0.5000 0.5000
Te1 0.0000 0.0000 0.5000
Te2 0.5000 0.0000 0.5000
Te3 0.0000 0.0000 0.0000
Te4 0.5000 0.0000 0.0000
Br1 0.0000 0.5000 0.0000

Record 8
Material: LaTeSeBr2
Method: DFT, PBE
State: relaxed

Output
Formation energy without anion corrections (eV per atom): -0.7840
Excess energy over the best structure of this formula in the dataset (eV per atom): 0.0000
ρ (g cm⁻³): 4.2
Uncorrected energy (eV/atom): -3.764

Cell: 5.8383 5.8383 5.9200 Å, 90.00 90.00 90.00°
Positions (direct):
Br1 0.0000 0.5000 0.0000
Br2 0.5000 0.0000 0.0000
Te1 0.5000 0.5000 0.5000
Se1 0.0000 0.0000 0.5000
La1 0.0000 0.0000 0.0000

Record 9
Material: LaTeSeBr2
Method: DFT, PBE
State: relaxed

Output
Formation energy without anion corrections (eV per atom): -0.2614
Excess energy over the best structure of this formula in the dataset (eV per atom): 0.5226
ρ (g cm⁻³): 4.7
Uncorrected energy (eV/atom): -3.241

Cell: 5.6965 5.6965 5.4760 Å, 90.00 90.00 90.00°
Positions (direct):
Te1 0.0000 0.0000 0.0000
Br1 0.5000 0.0000 0.0000
Br2 0.0000 0.5000 0.0000
La1 0.5000 0.5000 0.5000
Se1 0.0000 0.0000 0.5000

Record 10
Material: La4Te2SeBr
Method: DFT, PBE
State: relaxed

Output
Formation energy without anion corrections (eV per atom): -1.6109
ρ (g cm⁻³): 6.4
Uncorrected energy (eV/atom): -5.505

Cell: 4.4522 7.6685 7.7556 Å, 70.53 90.00 90.00°
Positions (direct):
Br1 0.0000 0.5000 0.5000
Te1 0.5000 0.0000 0.5000
Te2 0.0000 0.0000 0.0000
La1 0.5000 0.2662 0.7539
La2 0.0000 0.7283 0.7657
La3 0.0000 0.2717 0.2343
La4 0.5000 0.7338 0.2461
Se1 0.5000 0.5000 0.0000

Record 11
Material: LaTiSe2Br
Method: DFT, PBE
State: relaxed

Output
Formation energy without anion corrections (eV per atom): -0.3870
Excess energy over the best structure of this formula in the dataset (eV per atom): 0.7788
ρ (g cm⁻³): 3.8
Uncorrected energy (eV/atom): -4.680

Cell: 5.7623 5.7623 5.6620 Å, 90.00 90.00 90.00°
Positions (direct):
Ti1 0.5000 0.5000 0.5000
Br1 0.0000 0.0000 0.5000
Se1 0.5000 0.0000 0.0000
Se2 0.0000 0.5000 0.0000
La1 0.0000 0.0000 0.0000

Record 12
Material: LaTiSe2Br
Method: DFT, PBE
State: relaxed

Output
Formation energy without anion corrections (eV per atom): -1.1658
Excess energy over the best structure of this formula in the dataset (eV per atom): 0.0000
ρ (g cm⁻³): 5.7
Uncorrected energy (eV/atom): -5.459

Cell: 5.0237 5.0237 4.9254 Å, 90.00 90.00 90.00°
Positions (direct):
Se1 0.0000 0.5000 0.0000
Se2 0.5000 0.0000 0.0000
Ti1 0.0000 0.0000 0.0000
Br1 0.0000 0.0000 0.5000
La1 0.5000 0.5000 0.5000